[1]
The following is a DFT calculation (PBE) of a relaxed ZrZnTeN2 crystal.

abc: 4.048 4.048 5.252
angles: 90.00 90.00 90.00
Element x y z (fractional)
Zn: 0.000 0.000 0.000
Te: 0.000 0.000 0.500
Zr: 0.500 0.500 0.500
N: 0.000 0.500 0.000
N: 0.500 0.000 0.000

Output
For the raw formation energy, the calculation gives 1.13 eV/atom. As for the space group: P4/mmm (123). The calculation puts the energy above the most stable polymorph in this dataset at 768 meV per atom.


[2]
The following is a DFT calculation (PBE) of a relaxed SrRh2Au crystal.

abc: 3.112 5.106 5.937
angles: 52.49 90.00 90.00
Element x y z (fractional)
Au: 0.000 0.000 0.500
Rh: 0.000 0.000 0.000
Rh: 0.500 0.500 0.000
Sr: 0.500 0.500 0.500

Output
As for the space group: P2/m (10). The value obtained for the energy of formation from the pure elements is 0.059 eV per atom.


Total magnetization? In order: 0.289; 0.000 μB/atom.
Calculated density? In order: 6.02; 10.88 g cm⁻³.